(1)
RbTa3Ti | SCAN | PBEsol geometry

Structure (POSCAR):
```
RbTa3Ti
1.0
-3.5136 -3.1540 0.1274
3.0341 -3.4271 -1.1655
0.8707 -0.7851 4.5754
Ti Rb Ta
1 1 3
Direct
0.5000 0.5000 0.5000 Ti
0.0000 0.0000 0.0000 Rb
0.0000 0.5000 0.0000 Ta
0.0000 0.0000 0.5000 Ta
0.5000 0.0000 0.0000 Ta
```

Properties
Total energy = -44.17 eV per atom
Formation enthalpy at 0 K = 3132 meV per atom
Size of the total moment = 1.1 μB per formula unit
ρ = 10.66 Mg/m³
SG = No. 221

(2)
MnAgCl2 | SCAN | PBEsol geometry

Structure (POSCAR):
```
MnAgCl2
1.0
3.0686 0.0000 0.0000
0.0000 3.0686 0.0000
0.0000 0.0000 8.7964
Mn Ag Cl
1 1 2
Direct
0.5000 0.5000 0.0000 Mn
0.5000 0.5000 0.5000 Ag
0.0000 0.0000 0.8271 Cl
0.0000 0.0000 0.1729 Cl
```

Properties
Total energy = -16.92 eV per atom
Size of the total moment = 4.9 μB per formula unit
ρ = 4.69 Mg/m³
SG = No. 123

(3)
BaSc2PF | SCAN | PBEsol geometry

Structure (POSCAR):
```
BaSc2PF
1.0
-3.5886 0.3913 2.6524
0.6773 -4.1555 1.5294
2.9808 1.8687 3.7573
Sc P Ba F
2 1 1 1
Direct
0.0000 0.5000 0.0000 Sc
0.5000 0.0000 0.0000 Sc
0.5000 0.5000 0.5000 P
0.0000 0.0000 0.5000 Ba
0.0000 0.0000 0.0000 F
```

Properties
Total energy = -17.32 eV per atom
Size of the total moment = 0.0 μB per formula unit
ρ = 4.46 Mg/m³
SG = No. 123

(4)
Y2CuTe | SCAN | PBEsol geometry

Structure (POSCAR):
```
Y2CuTe
1.0
-2.3275 0.1886 -3.4950
0.2079 -4.1824 -0.3641
-3.3582 1.5234 4.8463
Cu Te Y
1 1 2
Direct
0.5000 0.5000 0.0000 Cu
0.2500 0.7500 0.5000 Te
0.0000 0.0000 0.0000 Y
0.7500 0.2500 0.5000 Y
```

Properties
Total energy = -27.57 eV per atom
Size of the total moment = 0.0 μB per formula unit
ρ = 6.52 Mg/m³
SG = No. 119

(5)
KBe4Ir | SCAN | PBEsol geometry

Structure (POSCAR):
```
KBe4Ir
1.0
-2.3157 -1.7249 3.6862
1.5907 -3.8246 2.1837
1.8386 0.3489 4.2923
Be K Ir
4 1 1
Direct
0.8631 0.3790 0.3790 Be
0.3790 0.3790 0.3790 Be
0.3790 0.3790 0.8631 Be
0.3790 0.8631 0.3790 Be
0.0000 0.0000 0.0000 K
0.7500 0.7500 0.7500 Ir
```

Properties
Total energy = -15.55 eV per atom
Formation enthalpy at 0 K = 586 meV per atom
Size of the total moment = 0.0 μB per formula unit
ρ = 6.12 Mg/m³
SG = No. 216

(6)
Ba3LiW | SCAN | PBEsol geometry

Structure (POSCAR):
```
Ba3LiW
1.0
-5.4794 -0.4050 2.1550
0.2631 -5.8798 -0.4360
2.1769 -0.3087 5.4770
Ba W Li
3 1 1
Direct
0.0000 0.5000 0.0000 Ba
0.0000 0.0000 0.5000 Ba
0.5000 0.0000 0.0000 Ba
0.5000 0.5000 0.5000 W
0.0000 0.0000 0.0000 Li
```

Properties
Total energy = -36.72 eV per atom
Formation enthalpy at 0 K = 1422 meV per atom
Size of the total moment = 4.8 μB per formula unit
ρ = 4.87 Mg/m³
SG = No. 221